Record 1
{"formula": "Dy2NpTl3Te6", "functional": "GGA-PBE", "state": "relaxed", "lattice": [[-7.519, 1.050, 1.559], [4.021, -5.432, 3.793], [3.119, 6.915, 3.957]], "species": ["Dy", "Dy", "Te", "Te", "Te", "Te", "Te", "Te", "Tl", "Tl", "Tl", "Np"], "fractional_positions": [[0.333, 0.667, 0.000], [0.667, 0.333, 0.000], [0.409, 0.071, 0.214], [0.267, 0.267, 0.787], [0.733, 0.733, 0.213], [0.591, 0.929, 0.786], [0.929, 0.591, 0.786], [0.071, 0.409, 0.214], [0.165, 0.835, 0.500], [0.500, 0.500, 0.500], [0.835, 0.165, 0.500], [0.000, 0.000, 0.000]], "crystal_system": "monoclinic", "formation_energy_uncorrected_ev_per_atom": -0.88}


Record 2
{"formula": "Th4CuRu", "functional": "GGA-PBE", "state": "relaxed", "lattice": [[-4.569, -0.701, -3.857], [4.065, -4.355, -4.025], [-2.321, -5.659, 3.778]], "species": ["Th", "Th", "Th", "Th", "Th", "Th", "Th", "Th", "Cu", "Cu", "Ru", "Ru"], "fractional_positions": [[0.500, 0.342, 0.828], [0.000, 0.828, 0.342], [0.000, 0.172, 0.658], [0.000, 0.342, 0.172], [0.000, 0.658, 0.828], [0.500, 0.172, 0.342], [0.500, 0.828, 0.658], [0.500, 0.658, 0.172], [0.750, 0.000, 0.000], [0.250, 0.000, 0.000], [0.250, 0.500, 0.500], [0.750, 0.500, 0.500]], "crystal_system": "tetragonal", "ef_mev_per_atom": -231}


Record 3
{"formula": "ThGa4OsRh2", "functional": "GGA-PBE", "state": "relaxed", "lattice": [[-0.513, 3.631, -2.193], [0.907, 0.122, -4.174], [-8.089, -1.030, -3.976]], "species": ["Ga", "Ga", "Ga", "Ga", "Os", "Th", "Rh", "Rh"], "fractional_positions": [[0.402, 0.402, 0.793], [0.867, 0.867, 0.400], [0.598, 0.598, 0.207], [0.133, 0.133, 0.600], [0.500, 0.500, 0.500], [0.000, 0.000, 0.000], [0.238, 0.238, 0.287], [0.762, 0.762, 0.713]], "crystal_system": "trigonal", "ef_mev_per_atom": -489}


Record 4
{"formula": "KSrTe3", "functional": "GGA-PBE", "state": "relaxed", "lattice": [[5.966, 0.000, 0.000], [0.000, 5.966, 0.000], [0.000, 0.000, 5.966]], "species": ["Te", "Te", "Te", "K", "Sr"], "fractional_positions": [[0.000, 0.000, 0.500], [0.500, 0.000, 0.000], [0.000, 0.500, 0.000], [0.000, 0.000, 0.000], [0.500, 0.500, 0.500]], "polymorph_energy_ev_per_atom": 0.9259, "crystal_system": "cubic", "formation_energy_uncorrected_ev_per_atom": -0.06}


Record 5
{"formula": "CaSc2Nb", "functional": "GGA-PBE", "state": "relaxed", "lattice": [[3.342, 0.000, 0.000], [0.000, 3.342, 0.000], [0.000, 0.000, 9.271]], "species": ["Ca", "Nb", "Sc", "Sc"], "fractional_positions": [[0.500, 0.500, 0.500], [0.500, 0.500, 0.000], [0.000, 0.000, 0.805], [0.000, 0.000, 0.195]], "polymorph_energy_ev_per_atom": 0.0000, "crystal_system": "tetragonal", "ef_mev_per_atom": 199}


Record 6
{"formula": "La3Tb2HoSe6", "functional": "GGA-PBE", "state": "relaxed", "lattice": [[7.221, -0.012, -0.002], [-3.619, 6.249, -0.002], [-1.204, -2.084, 6.955]], "species": ["Se", "Se", "Se", "Se", "Se", "Se", "Tb", "Tb", "Ho", "La", "La", "La"], "fractional_positions": [[0.923, 0.592, 0.769], [0.592, 0.923, 0.769], [0.077, 0.408, 0.231], [0.408, 0.077, 0.231], [0.747, 0.747, 0.232], [0.253, 0.253, 0.768], [0.333, 0.667, 0.000], [0.667, 0.333, 0.000], [0.000, 0.000, 0.000], [0.168, 0.832, 0.500], [0.832, 0.168, 0.500], [0.500, 0.500, 0.500]], "crystal_system": "monoclinic", "formation_energy_uncorrected_ev_per_atom": -1.89}


Record 7
{"formula": "Sr2SbRu2", "functional": "GGA-PBE", "state": "relaxed", "lattice": [[-1.810, 1.810, 9.895], [1.810, -1.810, 9.895], [1.810, 1.810, -9.895]], "species": ["Ru", "Ru", "Sr", "Sr", "Sb"], "fractional_positions": [[0.250, 0.750, 0.500], [0.750, 0.250, 0.500], [0.385, 0.385, 0.000], [0.615, 0.615, 0.000], [0.000, 0.000, 0.000]], "crystal_system": "tetragonal", "formation_energy_uncorrected_ev_per_atom": 0.00}


Record 8
{"formula": "InWBr2", "functional": "GGA-PBE", "state": "relaxed", "lattice": [[3.213, 0.000, 0.000], [0.000, 5.837, 0.000], [0.000, 0.000, 4.809]], "species": ["In", "W", "Br", "Br"], "fractional_positions": [[0.500, 0.000, 0.500], [0.000, 0.500, 0.500], [0.000, 0.000, 0.000], [0.500, 0.500, 0.000]], "polymorph_energy_ev_per_atom": 0.6941, "crystal_system": "orthorhombic", "formation_energy_uncorrected_ev_per_atom": 0.82}


Raw total energy (computed, eV for the cell shown): -58.7 -88.9 -49.4 -12.5 -23.9 -72.2 -26.0 -15.8
N(E_F) (computed, states/eV per atom): 0.422 1.180 0.335 1.385 1.727 0.543 0.963 0.563
Volume (computed, Å³/cell): 424.3 311.1 138.0 212.4 103.5 313.5 129.6 90.2